Compound: PrDyTh3
Source: the Alexandria database
Functional: PBE-GGA
Structure: relaxed

Computed properties:
calculated volume: 35.78 Å³ per atom
energy of formation from the pure elements: 0.37 eV per atom
Fermi-level density of states: 37.983 states/eV per cell
calculated density: 9.3 Mg/m³
energy: -5.961 eV per atom

Cell lengths 9.9877, 11.9253, 6.0081 Å; angles 90.00, 90.00, 90.00 degrees
Closest atoms and distances in Å follow each position.
Space group Imma (No. 74)
One atom of each set of equivalent atoms:
Pr 0.2500 0.2500 0.2500 x4  4 Th 3.44, 2 Dy 3.67
Dy 0.0000 0.2500 0.6979 x4  6 Th 3.49-3.63, 2 Pr 3.67
Th 0.0000 0.0000 0.0000 x4  6 Th 3.31-3.44, 2 Dy 3.49
Th 0.1687 0.0000 0.5000 x8  6 Th 3.31-3.44, 2 Pr 3.44, 2 Dy 3.63